No. 1
TlGePb2Se4 after structural relaxation. Source: Alexandria via LeMat-Bulk, functional PBE.

Structure (extended XYZ):
```
16
Lattice="-4.266 4.281 6.059 4.266 -4.281 6.059 4.266 4.281 -6.059" Properties=species:S:1:pos:R:3 pbc="T T T"
Tl 0.000 0.000 0.000
Tl 0.000 4.281 0.000
Ge -2.133 2.141 3.030
Ge 2.133 2.141 3.030
Pb 2.133 2.141 -3.030
Pb 2.133 -2.141 3.030
Pb 4.266 0.000 0.000
Pb 0.000 0.000 6.059
Se 2.150 2.141 0.103
Se 6.382 2.141 0.103
Se 4.266 0.143 3.016
Se 0.000 0.143 3.043
Se 4.266 4.138 3.016
Se 0.000 4.138 3.043
Se -2.116 2.141 5.956
Se 2.116 2.141 5.956
```

Calculated values
Symmetry = Imma (74)
VASP energy = -3.90 eV/atom
ΔE_f (raw) = -0.36 eV/atom



No. 2
TlGePbSe3 after structural relaxation. Source: Alexandria via LeMat-Bulk, functional PBE.

Structure (extended XYZ):
```
12
Lattice="8.938 0.000 0.000 0.000 4.682 0.000 -1.638 0.000 9.473" Properties=species:S:1:pos:R:3 pbc="T T T"
Tl 1.399 1.171 1.996
Tl 5.901 3.512 7.477
Ge -0.081 1.171 5.710
Ge 7.381 3.512 3.763
Pb 1.756 3.512 8.228
Pb 5.544 1.171 1.245
Se -0.499 1.171 8.055
Se 0.709 3.512 4.948
Se 3.551 3.512 1.584
Se 3.749 1.171 7.889
Se 6.591 1.171 4.525
Se 7.799 3.512 1.418
```

Calculated values
Symmetry = P2_1/m (11)
VASP energy = -3.87 eV/atom
ΔE_f (raw) = -0.34 eV/atom